# Ce2DyFe | Alexandria via LeMat-Bulk | PBE-GGA | optimized geometry
data_Ce2DyFe
_symmetry_space_group_name_H-M 'P n m a'
_symmetry_Int_Tables_number 62
_cell_length_a 6.825
_cell_length_b 9.421
_cell_length_c 6.111
_cell_angle_alpha 90.00
_cell_angle_beta 90.00
_cell_angle_gamma 90.00
loop_
_symmetry_equiv_pos_as_xyz
'x,y,z'
'-x,-y,-z'
'-x+1/2,-y,z+1/2'
'x+1/2,y,-z+1/2'
'x+1/2,-y+1/2,-z+1/2'
'-x+1/2,y+1/2,z+1/2'
'-x,y+1/2,-z'
'x,-y+1/2,z'
loop_
_atom_site_label
_atom_site_fract_x
_atom_site_fract_y
_atom_site_fract_z
Ce1 0.151 0.068 0.141
Dy1 0.060 0.250 0.627
Fe1 0.067 0.750 0.884
# DOS(E_F) in states/eV/f.u.: 7.04
# Calculated formation energy in eV/atom: -0.072
# Size of the total moment in μB per cell: 0.000
# Raw total energy in eV/cell: -100.887
# Crystal system: orthorhombic
# Relative energy among the computed polymorphs in kJ/mol of atoms: 0.0

# Ce2AlAg3 | Alexandria via LeMat-Bulk | PBE-GGA | optimized geometry
data_Ce2AlAg3
_symmetry_space_group_name_H-M 'I m m 2'
_symmetry_Int_Tables_number 44
_cell_length_a 3.669
_cell_length_b 4.549
_cell_length_c 17.447
_cell_angle_alpha 90.00
_cell_angle_beta 90.00
_cell_angle_gamma 90.00
loop_
_symmetry_equiv_pos_as_xyz
'x,y,z'
'-x,-y,z'
'-x,y,z'
'x,-y,z'
'x+1/2,y+1/2,z+1/2'
'-x+1/2,-y+1/2,z+1/2'
'-x+1/2,y+1/2,z+1/2'
'x+1/2,-y+1/2,z+1/2'
loop_
_atom_site_label
_atom_site_fract_x
_atom_site_fract_y
_atom_site_fract_z
Ce1 0.000 0.000 0.000
Ce2 0.000 0.500 0.241
Al1 0.000 0.000 0.584
Ag1 0.000 0.000 0.431
Ag2 0.000 0.500 0.656
Ag3 0.000 0.500 0.815
# DOS(E_F) in states/eV/f.u.: 14.01
# Calculated formation energy in eV/atom: -0.119
# Size of the total moment in μB per cell: 3.975
# Raw total energy in eV/cell: -49.753
# Crystal system: orthorhombic
# Relative energy among the computed polymorphs in kJ/mol of atoms: 10.8

# PuInTe2 | Alexandria via LeMat-Bulk | PBE-GGA | optimized geometry
data_PuInTe2
_symmetry_space_group_name_H-M 'P 4/m m m'
_symmetry_Int_Tables_number 123
_symmetry_space_group_name_Hall '-P 4 2'
_cell_length_a 5.330
_cell_length_b 5.330
_cell_length_c 3.964
_cell_angle_alpha 90.00
_cell_angle_beta 90.00
_cell_angle_gamma 90.00
loop_
_atom_site_label
_atom_site_fract_x
_atom_site_fract_y
_atom_site_fract_z
Pu1 0.000 0.000 0.000
In1 0.500 0.500 0.000
Te1 0.000 0.500 0.500
# DOS(E_F) in states/eV/f.u.: 10.38
# Size of the total moment in μB per cell: 5.267
# Raw total energy in eV/cell: -25.698
# Crystal system: tetragonal
# Formation energy (no corrections) in eV per atom: -0.59

# LaPr2Sm | Alexandria via LeMat-Bulk | PBE-GGA | optimized geometry
data_LaPr2Sm
_symmetry_space_group_name_H-M 'R -3 m'
_symmetry_Int_Tables_number 166
_symmetry_space_group_name_Hall '-R 3 2"'
_cell_length_a 3.7014
_cell_length_b 3.7014
_cell_length_c 36.3330
_cell_angle_alpha 90.00
_cell_angle_beta 90.00
_cell_angle_gamma 120.00
loop_
_atom_site_label
_atom_site_fract_x
_atom_site_fract_y
_atom_site_fract_z
La1 0.0000 0.0000 0.0000
Pr1 0.0000 0.0000 0.2488
Sm1 0.0000 0.0000 0.5000
# DOS(E_F) in states/eV/f.u.: 6.67
# Calculated formation energy in eV/atom: 0.014
# Size of the total moment in μB per cell: 0.000
# Raw total energy in eV/cell: -57.447
# Crystal system: trigonal
# Relative energy among the computed polymorphs in kJ/mol of atoms: 0.1

# TaPdSe2 | Alexandria via LeMat-Bulk | PBE-GGA | optimized geometry
data_TaPdSe2
_symmetry_space_group_name_H-M 'F m -3 m'
_symmetry_Int_Tables_number 225
_symmetry_space_group_name_Hall '-F 4 2 3'
_cell_length_a 6.517
_cell_length_b 6.517
_cell_length_c 6.517
_cell_angle_alpha 90.00
_cell_angle_beta 90.00
_cell_angle_gamma 90.00
loop_
_atom_site_label
_atom_site_fract_x
_atom_site_fract_y
_atom_site_fract_z
Ta1 0.000 0.000 0.000
Pd1 0.000 0.000 0.500
Se1 0.250 0.250 0.250
# DOS(E_F) in states/eV/f.u.: 5.56
# Size of the total moment in μB per cell: 1.714
# Raw total energy in eV/cell: -97.713
# Crystal system: cubic
# Relative energy among the computed polymorphs in kJ/mol of atoms: 40.7
# Formation energy (no corrections) in eV per atom: -0.10

# TcHSe2 | Alexandria via LeMat-Bulk | PBE-GGA | optimized geometry
data_TcHSe2
_symmetry_space_group_name_H-M 'C m c m'
_symmetry_Int_Tables_number 63
_symmetry_space_group_name_Hall '-C 2c 2'
_cell_length_a 3.096
_cell_length_b 22.202
_cell_length_c 3.849
_cell_angle_alpha 90.00
_cell_angle_beta 90.00
_cell_angle_gamma 90.00
loop_
_atom_site_label
_atom_site_fract_x
_atom_site_fract_y
_atom_site_fract_z
Tc1 0.000 0.171 0.250
H1 0.000 0.422 0.250
Se1 0.000 0.293 0.250
Se2 0.000 0.419 0.750
# DOS(E_F) in states/eV/f.u.: 1.40
# Size of the total moment in μB per cell: 0.000
# Raw total energy in eV/cell: -80.264
# Crystal system: orthorhombic
# Relative energy among the computed polymorphs in kJ/mol of atoms: 32.4